No. 1
Computed, not measured: a PBEsol-optimized structure of CsHoCdTe3 at the SCAN level of DFT.

Values from the calculation:
Energy relative to the elements, uncorrected (meV per atom): -1211
Calculated volume (A^3/atom): 35.86
Space-group type: Cmcm, No. 63

a b c (Å): 4.4329 8.6665 11.5860
angles (deg): 90.00 90.00 104.82
Last column: nearest neighbours and their distance in Å.
Element x y z (fractional)
Te: 0.3765 0.7530 0.4560  1 Cd 2.78, 2 Ho 3.08
Te: 0.0666 0.1332 0.2500  2 Cd 2.83, 2 Ho 3.10
Te: 0.6235 0.2470 0.5440  1 Cd 2.78, 2 Ho 3.08
Te: 0.6235 0.2470 0.9560  1 Cd 2.78, 2 Ho 3.08
Te: 0.3765 0.7530 0.0440  1 Cd 2.78, 2 Ho 3.08
Te: 0.9334 0.8668 0.7500  2 Cd 2.83, 2 Ho 3.10
Cs: 0.7511 0.5022 0.2500  8 Te 3.80-4.02, 2 Cd 4.16
Cs: 0.2489 0.4978 0.7500  8 Te 3.80-4.02, 2 Cd 4.16
Ho: 0.0000 0.0000 0.0000  6 Te 3.08-3.10
Ho: 0.0000 0.0000 0.5000  6 Te 3.08-3.10
Cd: 0.5388 0.0776 0.7500  4 Te 2.78-2.83
Cd: 0.4612 0.9224 0.2500  4 Te 2.78-2.83

=====

No. 2
Computed, not measured: a PBEsol-optimized structure of Cs3CdI5 at the SCAN level of DFT.

Values from the calculation:
Energy relative to the elements, uncorrected (meV per atom): -1393
Calculated volume (A^3/atom): 47.23
Space-group type: Pnma, No. 62

a b c (Å): 9.8769 11.7440 14.6597
angles (deg): 90.00 90.00 90.00
Last column: nearest neighbours and their distance in Å.
Element x y z (fractional)
Cs: 0.5775 0.9844 0.3297  7 I 3.78-4.15, 1 Cd 4.17
Cs: 0.0713 0.7500 0.4483  8 I 3.69-3.92
Cs: 0.9225 0.0156 0.8297  7 I 3.78-4.15, 1 Cd 4.17
Cs: 0.9287 0.2500 0.5517  8 I 3.69-3.92
Cs: 0.0775 0.9844 0.1703  7 I 3.78-4.15, 1 Cd 4.17
Cs: 0.5713 0.7500 0.0517  8 I 3.69-3.92
Cs: 0.5775 0.5156 0.3297  7 I 3.78-4.15, 1 Cd 4.17
Cs: 0.9225 0.4844 0.8297  7 I 3.78-4.15, 1 Cd 4.17
Cs: 0.4287 0.2500 0.9483  8 I 3.69-3.92
Cs: 0.4225 0.4844 0.6703  7 I 3.78-4.15, 1 Cd 4.17
Cs: 0.4225 0.0156 0.6703  7 I 3.78-4.15, 1 Cd 4.17
Cs: 0.0775 0.5156 0.1703  7 I 3.78-4.15, 1 Cd 4.17
I: 0.1877 0.4517 0.4386  1 Cd 2.76
I: 0.1811 0.2500 0.7393  6 Cs 3.71-3.98, 1 I 4.10
I: 0.8123 0.5483 0.5614  1 Cd 2.76
I: 0.3123 0.5483 0.9386  1 Cd 2.76
I: 0.6877 0.4517 0.0614  1 Cd 2.76
I: 0.8746 0.2500 0.2922  1 Cd 2.76
I: 0.8189 0.7500 0.2607  6 Cs 3.71-3.98, 1 I 4.10
I: 0.0494 0.2500 0.0043  1 Cd 2.79
I: 0.3746 0.2500 0.2078  1 Cd 2.76
I: 0.5494 0.2500 0.4957  1 Cd 2.79
I: 0.4506 0.7500 0.5043  1 Cd 2.79
I: 0.6254 0.7500 0.7922  1 Cd 2.76
I: 0.9506 0.7500 0.9957  1 Cd 2.79
I: 0.8123 0.9517 0.5614  1 Cd 2.76
I: 0.6877 0.0483 0.0614  1 Cd 2.76
I: 0.3123 0.9517 0.9386  1 Cd 2.76
I: 0.1877 0.0483 0.4386  1 Cd 2.76
I: 0.3189 0.7500 0.2393  6 Cs 3.71-3.98, 1 I 4.10
I: 0.1254 0.7500 0.7078  1 Cd 2.76
I: 0.6811 0.2500 0.7607  6 Cs 3.71-3.98, 1 I 4.10
Cd: 0.8130 0.2500 0.1084  4 I 2.76-2.79
Cd: 0.1870 0.7500 0.8916  4 I 2.76-2.79
Cd: 0.3130 0.2500 0.3916  4 I 2.76-2.79
Cd: 0.6870 0.7500 0.6084  4 I 2.76-2.79

=====

No. 3
Computed, not measured: a PBEsol-optimized structure of Cs2CdI4 at the SCAN level of DFT.

Values from the calculation:
Energy relative to the elements, uncorrected (meV per atom): -1290
Calculated volume (A^3/atom): 47.74
Space-group type: Pnma, No. 62
Energy relative to the lowest polymorph listed for this composition (meV per atom): 7

a b c (Å): 8.3194 10.7746 14.9111
angles (deg): 90.00 90.00 90.00
Last column: nearest neighbours and their distance in Å.
Element x y z (fractional)
Cs: 0.2500 0.4767 0.8339  7 I 3.79-3.90
Cs: 0.2500 0.1116 0.0712  8 I 3.86-4.25, 1 Cd 4.19
Cs: 0.7500 0.0233 0.3339  7 I 3.79-3.90
Cs: 0.2500 0.6116 0.4288  8 I 3.86-4.25, 1 Cd 4.19
Cs: 0.2500 0.9767 0.6661  7 I 3.79-3.90
Cs: 0.7500 0.5233 0.1661  7 I 3.79-3.90
Cs: 0.7500 0.3884 0.5712  8 I 3.86-4.25, 1 Cd 4.19
Cs: 0.7500 0.8884 0.9288  8 I 3.86-4.25, 1 Cd 4.19
I: 0.0163 0.6678 0.6544  1 Cd 2.77
I: 0.9837 0.3322 0.3456  1 Cd 2.77
I: 0.0163 0.1678 0.8456  1 Cd 2.77
I: 0.2500 0.8161 0.9009  1 Cd 2.79
I: 0.9837 0.8322 0.1544  1 Cd 2.77
I: 0.2500 0.3161 0.5991  1 Cd 2.79
I: 0.2500 0.9682 0.4074  1 Cd 2.75
I: 0.7500 0.6839 0.4009  1 Cd 2.79
I: 0.5163 0.8322 0.1544  1 Cd 2.77
I: 0.4837 0.6678 0.6544  1 Cd 2.77
I: 0.7500 0.5318 0.9074  1 Cd 2.75
I: 0.7500 0.1839 0.0991  1 Cd 2.79
I: 0.5163 0.3322 0.3456  1 Cd 2.77
I: 0.2500 0.4682 0.0926  1 Cd 2.75
I: 0.4837 0.1678 0.8456  1 Cd 2.77
I: 0.7500 0.0318 0.5926  1 Cd 2.75
Cd: 0.7500 0.7773 0.5755  4 I 2.75-2.79
Cd: 0.7500 0.2773 0.9245  4 I 2.75-2.79
Cd: 0.2500 0.2227 0.4245  4 I 2.75-2.79
Cd: 0.2500 0.7227 0.0755  4 I 2.75-2.79

=====

No. 4
Computed, not measured: a PBEsol-optimized structure of Cs2CdI4 at the SCAN level of DFT.

Values from the calculation:
Energy relative to the elements, uncorrected (meV per atom): -1298
Calculated volume (A^3/atom): 47.12
Space-group type: P2_1/m, No. 11
Energy relative to the lowest polymorph listed for this composition (meV per atom): 0

a b c (Å): 7.8354 8.2529 10.8571
angles (deg): 90.00 110.03 90.00
Last column: nearest neighbours and their distance in Å.
Element x y z (fractional)
I: 0.6393 0.2500 0.9474  1 Cd 2.80
I: 0.3607 0.7500 0.0526  1 Cd 2.80
I: 0.4228 0.7500 0.6379  1 Cd 2.76
I: 0.9585 0.0146 0.7162  1 Cd 2.78
I: 0.0415 0.5146 0.2838  1 Cd 2.78
I: 0.0415 0.9854 0.2838  1 Cd 2.78
I: 0.9585 0.4854 0.7162  1 Cd 2.78
I: 0.5772 0.2500 0.3621  1 Cd 2.76
Cs: 0.8028 0.7500 0.9632  7 I 3.76-4.14, 1 Cd 4.17
Cs: 0.2954 0.2500 0.5884  8 I 3.82-4.24
Cs: 0.7046 0.7500 0.4116  8 I 3.82-4.24
Cs: 0.1972 0.2500 0.0368  7 I 3.76-4.14, 1 Cd 4.17
Cd: 0.1913 0.7500 0.7802  4 I 2.76-2.80
Cd: 0.8087 0.2500 0.2198  4 I 2.76-2.80

=====

No. 5
Computed, not measured: a PBEsol-optimized structure of CsCd2In2 at the SCAN level of DFT.

Values from the calculation:
Formation energy from the elements (eV/atom): -0.118
Calculated volume (A^3/atom): 30.46
Space-group type: Fmmm, No. 69

a b c (Å): 5.0490 5.0490 6.9514
angles (deg): 111.09 111.09 90.48
Last column: nearest neighbours and their distance in Å.
Element x y z (fractional)
Cd: 0.2498 0.7501 0.5000  4 In 2.94
Cd: 0.7501 0.2498 0.5000  4 In 2.94
Cs: 0.0000 0.0000 0.0000  8 In 3.85-3.88, 8 Cd 3.91
In: 0.3756 0.3756 0.7511  4 Cd 2.94, 1 In 2.97
In: 0.6244 0.6244 0.2489  4 Cd 2.94, 1 In 2.97

=====

No. 6
Computed, not measured: a PBEsol-optimized structure of Cs2CdIr2 at the SCAN level of DFT.

Values from the calculation:
Formation energy from the elements (eV/atom): 0.479
Calculated volume (A^3/atom): 30.35
Space-group type: I4/mmm, No. 139

a b c (Å): 3.5617 3.5617 12.2245
angles (deg): 98.38 98.38 90.00
Last column: nearest neighbours and their distance in Å.
Element x y z (fractional)
Cd: 0.0000 0.0000 0.0000  4 Cd 3.56, 8 Cs 3.93
Cs: 0.6263 0.6263 0.2525  4 Ir 3.45, 4 Cs 3.56
Cs: 0.3737 0.3737 0.7475  4 Ir 3.45, 4 Cs 3.56
Ir: 0.7500 0.2500 0.5000  4 Ir 2.52
Ir: 0.2500 0.7500 0.5000  4 Ir 2.52

=====

Number 1: VASP energy -472.46 eV/cell. Number 2: VASP energy -1360.38 eV/cell. Number 3: VASP energy -1048.13 eV/cell. Number 4: VASP energy -524.17 eV/cell. Number 5: VASP energy -166.00 eV/cell. Number 6: VASP energy -245.84 eV/cell.